(1)
DFT (PBE) results for a relaxed KVSbAu2 crystal.

Structure (CIF):
```
data_KVSbAu2
_chemical_formula_sum 'K1 V1 Sb1 Au2'
_symmetry_space_group_name_H-M 'P 4/m m m'
_symmetry_Int_Tables_number 123
_symmetry_space_group_name_Hall '-P 4 2'
_cell_length_a 5.277
_cell_length_b 5.277
_cell_length_c 6.216
_cell_angle_alpha 90.00
_cell_angle_beta 90.00
_cell_angle_gamma 90.00
loop_
_atom_site_label
_atom_site_type_symbol
_atom_site_fract_x
_atom_site_fract_y
_atom_site_fract_z
K1 K 0.000 0.000 0.000
V1 V 0.500 0.500 0.000
Sb1 Sb 0.000 0.000 0.500
Au1 Au 0.000 0.500 0.500
```

Output
- Uncorrected formation energy: 0.883 eV per atom
- Fermi-level density of states: 9.61 states/eV/f.u.

***

(2)
DFT (PBE) results for a relaxed LaTl2HW crystal.

Structure (CIF):
```
data_LaTl2HW
_chemical_formula_sum 'La1 Tl2 H1 W1'
_symmetry_space_group_name_H-M 'P 4/m m m'
_symmetry_Int_Tables_number 123
_symmetry_space_group_name_Hall '-P 4 2'
_cell_length_a 4.738
_cell_length_b 4.738
_cell_length_c 4.594
_cell_angle_alpha 90.00
_cell_angle_beta 90.00
_cell_angle_gamma 90.00
loop_
_atom_site_label
_atom_site_type_symbol
_atom_site_fract_x
_atom_site_fract_y
_atom_site_fract_z
La1 La 0.000 0.000 0.000
Tl1 Tl 0.000 0.500 0.500
H1 H 0.000 0.000 0.500
W1 W 0.500 0.500 0.000
```

Output
- Fermi-level density of states: 4.02 states/eV/f.u.

***

(3)
DFT (PBE) results for a relaxed RbIrN3 crystal.

Structure (CIF):
```
data_RbIrN3
_chemical_formula_sum 'Rb1 Ir1 N3'
_symmetry_space_group_name_H-M 'P m -3 m'
_symmetry_Int_Tables_number 221
_symmetry_space_group_name_Hall '-P 4 2 3'
_cell_length_a 3.973
_cell_length_b 3.973
_cell_length_c 3.973
_cell_angle_alpha 90.00
_cell_angle_beta 90.00
_cell_angle_gamma 90.00
loop_
_atom_site_label
_atom_site_type_symbol
_atom_site_fract_x
_atom_site_fract_y
_atom_site_fract_z
Rb1 Rb 0.000 0.000 0.000
Ir1 Ir 0.500 0.500 0.500
N1 N 0.000 0.500 0.500
```

Output
- Uncorrected formation energy: 1.157 eV per atom
- Fermi-level density of states: 3.67 states/eV/f.u.

***

(4)
DFT (PBE) results for a relaxed RbGaF3 crystal.

Structure (CIF):
```
data_RbGaF3
_chemical_formula_sum 'Rb2 Ga2 F6'
_symmetry_space_group_name_H-M 'P 1 21/m 1'
_symmetry_Int_Tables_number 11
_cell_length_a 4.730
_cell_length_b 6.061
_cell_length_c 6.604
_cell_angle_alpha 90.00
_cell_angle_beta 96.94
_cell_angle_gamma 90.00
loop_
_symmetry_equiv_pos_as_xyz
'x,y,z'
'-x,-y,-z'
'-x,y+1/2,-z'
'x,-y+1/2,z'
loop_
_atom_site_label
_atom_site_type_symbol
_atom_site_fract_x
_atom_site_fract_y
_atom_site_fract_z
Rb1 Rb 0.180 0.250 0.390
Ga1 Ga 0.415 0.750 0.089
F1 F 0.274 0.750 0.357
F2 F 0.308 0.001 0.842
```

Output
- Uncorrected formation energy: -2.309 eV per atom
- Fermi-level density of states: 0.12 states/eV/f.u.

***

(5)
DFT (PBE) results for a relaxed ZnInSn2 crystal.

Structure (CIF):
```
data_ZnInSn2
_chemical_formula_sum 'Zn1 In1 Sn2'
_symmetry_space_group_name_H-M 'P 4/m m m'
_symmetry_Int_Tables_number 123
_symmetry_space_group_name_Hall '-P 4 2'
_cell_length_a 4.531
_cell_length_b 4.531
_cell_length_c 4.857
_cell_angle_alpha 90.00
_cell_angle_beta 90.00
_cell_angle_gamma 90.00
loop_
_atom_site_label
_atom_site_type_symbol
_atom_site_fract_x
_atom_site_fract_y
_atom_site_fract_z
Zn1 Zn 0.000 0.000 0.000
In1 In 0.500 0.500 0.000
Sn1 Sn 0.000 0.500 0.500
```

Output
- DFT formation energy: 107 meV/atom
- Fermi-level density of states: 1.44 states/eV/f.u.

***

(6)
DFT (PBE) results for a relaxed Li5GaAg6 crystal.

Structure (CIF):
```
data_Li5GaAg6
_chemical_formula_sum 'Li10 Ga2 Ag12'
_symmetry_space_group_name_H-M 'C 1 2/m 1'
_symmetry_Int_Tables_number 12
_cell_length_a 7.882
_cell_length_b 13.260
_cell_length_c 4.435
_cell_angle_alpha 90.00
_cell_angle_beta 124.09
_cell_angle_gamma 90.00
loop_
_symmetry_equiv_pos_as_xyz
'x,y,z'
'-x,-y,-z'
'-x,y,-z'
'x,-y,z'
'x+1/2,y+1/2,z'
'-x+1/2,-y+1/2,-z'
'-x+1/2,y+1/2,-z'
'x+1/2,-y+1/2,z'
loop_
_atom_site_label
_atom_site_type_symbol
_atom_site_fract_x
_atom_site_fract_y
_atom_site_fract_z
Li1 Li 0.000 0.000 0.000
Li2 Li 0.000 0.168 0.500
Li3 Li 0.000 0.338 0.000
Ga1 Ga 0.000 0.500 0.500
Ag1 Ag 0.243 0.000 0.744
Ag2 Ag 0.246 0.168 0.245
```

Output
- DFT formation energy: -212 meV/atom
- Fermi-level density of states: 3.94 states/eV/f.u.

***

| no. | DFT total energy (eV/atom) |
| --- | --- |
| 1 | -3.295 |
| 2 | -4.622 |
| 3 | -5.804 |
| 4 | -4.231 |
| 5 | -2.897 |
| 6 | -2.688 |